1.
SnS2N2 (GGA-PBE, relaxed); total magnetic moment = 0.25 μB per cell; ΔE_f (raw) = 1499 meV/atom; crystal system = tetragonal; Fermi-level density of states = 2.68 states/eV per cell
1.0
-3.019 2.594 0.172
-0.862 -1.247 3.684
2.627 2.951 1.614
S Sn N
2 1 2
Direct
0.000 0.500 0.000 S
0.500 0.000 0.000 S
0.500 0.500 0.500 Sn
0.000 0.000 0.000 N
0.000 0.000 0.500 N

***

2.
Tm2PaAgS6 (GGA-PBE, relaxed); total magnetic moment = 0.00 μB per cell; ΔE_f (raw) = -1164 meV/atom; crystal system = tetragonal
1.0
6.680 0.000 0.000
0.000 6.299 0.000
0.000 0.000 6.299
Tm Pa Ag S
2 1 1 6
Direct
0.982 0.500 0.000 Tm
0.982 0.000 0.500 Tm
0.590 0.500 0.500 Pa
0.509 0.000 0.000 Ag
0.760 0.243 0.243 S
0.760 0.243 0.757 S
0.193 0.500 0.500 S
0.152 0.000 0.000 S
0.760 0.757 0.757 S
0.760 0.757 0.243 S

***

3.
Zn4Cu4Au5 (GGA-PBE, relaxed); total magnetic moment = 0.00 μB per cell; crystal system = tetragonal; Fermi-level density of states = 3.53 states/eV per cell; energy of formation = -0.128 eV per atom
1.0
3.687 0.000 0.937
1.843 7.229 0.469
0.062 0.000 7.475
Zn Cu Au
4 4 5
Direct
0.761 0.376 0.101 Zn
0.239 0.624 0.899 Zn
0.862 0.899 0.376 Zn
0.138 0.101 0.624 Zn
0.927 0.470 0.676 Cu
0.603 0.324 0.470 Cu
0.073 0.530 0.324 Cu
0.397 0.676 0.530 Cu
0.709 0.846 0.736 Au
0.291 0.154 0.264 Au
0.000 0.000 0.000 Au
0.555 0.736 0.154 Au
0.445 0.264 0.846 Au

***

4.
Sm5Ho4Tl4 (GGA-PBE, relaxed); total magnetic moment = 0.00 μB per cell; crystal system = tetragonal; Fermi-level density of states = 12.47 states/eV per cell; energy of formation = -0.250 eV per atom
1.0
4.924 0.000 1.252
2.462 8.819 0.626
0.289 0.000 9.173
Sm Ho Tl
5 4 4
Direct
0.691 0.913 0.706 Sm
0.309 0.087 0.294 Sm
0.000 0.000 0.000 Sm
0.604 0.706 0.087 Sm
0.396 0.294 0.913 Sm
0.906 0.491 0.697 Ho
0.603 0.303 0.491 Ho
0.094 0.509 0.303 Ho
0.397 0.697 0.509 Ho
0.763 0.337 0.138 Tl
0.237 0.663 0.862 Tl
0.901 0.862 0.337 Tl
0.099 0.138 0.663 Tl

***

5.
Dy2ThAl2 (GGA-PBE, relaxed); total magnetic moment = 0.00 μB per cell; crystal system = monoclinic; Fermi-level density of states = 10.25 states/eV per cell; energy of formation = -0.101 eV per atom
1.0
3.661 0.000 0.000
0.000 5.616 -0.067
0.000 -1.515 13.223
Dy Th Al
4 2 4
Direct
0.250 0.845 0.889 Dy
0.750 0.155 0.111 Dy
0.250 0.261 0.536 Dy
0.750 0.739 0.464 Dy
0.250 0.694 0.238 Th
0.750 0.306 0.762 Th
0.250 0.793 0.660 Al
0.750 0.207 0.340 Al
0.250 0.352 0.959 Al
0.750 0.648 0.041 Al

***

6.
Ca2Mg2Ir (GGA-PBE, relaxed); total magnetic moment = 0.00 μB per cell; crystal system = tetragonal; Fermi-level density of states = 7.98 states/eV per cell; energy of formation = -0.021 eV per atom
1.0
-5.622 -2.589 -3.240
1.910 -6.461 1.849
-2.720 0.445 4.366
Ca Ir Mg
4 2 4
Direct
0.184 0.684 0.500 Ca
0.684 0.816 0.500 Ca
0.816 0.316 0.500 Ca
0.316 0.184 0.500 Ca
0.000 0.000 0.000 Ir
0.500 0.500 0.000 Ir
0.350 0.850 0.000 Mg
0.850 0.650 0.000 Mg
0.650 0.150 0.000 Mg
0.150 0.350 0.000 Mg

***

7.
Cs2InRhI6 (GGA-PBE, relaxed); total magnetic moment = 0.00 μB per cell; ΔE_f (raw) = -811 meV/atom; crystal system = tetragonal
1.0
-3.826 -6.888 -2.829
3.497 1.146 -7.520
4.492 -6.142 -3.508
Cs I Rh In
2 6 1 1
Direct
0.750 0.250 0.500 Cs
0.250 0.750 0.500 Cs
0.269 0.269 0.461 I
0.731 0.731 0.539 I
0.269 0.269 0.000 I
0.731 0.731 0.000 I
0.731 0.269 0.000 I
0.269 0.731 0.000 I
0.500 0.500 0.000 Rh
0.000 0.000 0.000 In

***

8.
CoReNi (GGA-PBE, relaxed); total magnetic moment = 0.88 μB per cell; crystal system = tetragonal; Fermi-level density of states = 3.68 states/eV per cell; energy of formation = 0.083 eV per atom
1.0
5.549 -0.036 0.038
4.931 2.544 0.048
0.618 0.138 2.577
Co Ni Re
1 1 1
Direct
0.001 0.001 0.999 Co
0.336 0.336 0.664 Ni
0.663 0.663 0.337 Re

***

9.
La12AlNi5 (GGA-PBE, relaxed); total magnetic moment = 0.00 μB per cell; crystal system = orthorhombic; Fermi-level density of states = 17.57 states/eV per cell; energy of formation = -0.243 eV per atom
1.0
-2.713 -7.462 -3.681
7.737 2.326 -3.364
1.242 -0.765 8.629
La Al Ni
12 1 5
Direct
0.515 0.821 0.695 La
0.485 0.179 0.305 La
0.874 0.179 0.695 La
0.126 0.821 0.305 La
0.691 0.672 0.363 La
0.309 0.328 0.637 La
0.309 0.672 0.981 La
0.691 0.328 0.019 La
0.815 0.611 0.795 La
0.185 0.389 0.205 La
0.185 0.980 0.795 La
0.815 0.020 0.205 La
0.000 0.500 0.500 Al
0.636 0.636 0.000 Ni
0.364 0.364 0.000 Ni
0.500 0.127 0.627 Ni
0.500 0.873 0.373 Ni
0.000 0.000 0.000 Ni

***

10.
LiRe3 (GGA-PBE, relaxed); total magnetic moment = 0.00 μB per cell; crystal system = trigonal; Fermi-level density of states = 3.05 states/eV per cell; energy of formation = 0.264 eV per atom
1.0
5.089 0.001 0.002
-2.317 4.532 0.002
-2.317 -3.786 2.490
Li Re
1 3
Direct
0.000 0.000 0.000 Li
0.500 0.000 0.500 Re
0.500 0.500 0.000 Re
0.000 0.500 0.500 Re

***

11.
InPb4 (GGA-PBE, relaxed); total magnetic moment = 0.00 μB per cell; crystal system = tetragonal; Fermi-level density of states = 2.53 states/eV per cell; energy of formation = 0.152 eV per atom
1.0
3.730 -3.365 6.994
-2.391 -1.317 8.167
-1.817 -0.622 -8.395
In Pb
1 4
Direct
0.000 0.000 0.000 In
0.750 0.250 0.500 Pb
0.250 0.750 0.500 Pb
0.599 0.599 0.000 Pb
0.401 0.401 0.000 Pb

***

12.
KNbS3 (GGA-PBE, relaxed); total magnetic moment = 0.00 μB per cell; ΔE_f (raw) = -996 meV/atom; crystal system = monoclinic; Fermi-level density of states = 6.10 states/eV per cell
1.0
-0.566 5.471 -2.194
-6.547 -1.538 -2.148
1.085 2.428 6.557
K Nb S
2 2 6
Direct
0.250 0.334 0.668 K
0.750 0.666 0.332 K
0.000 0.000 0.000 Nb
0.500 0.000 0.000 Nb
0.742 0.675 0.837 S
0.742 0.163 0.837 S
0.235 0.838 0.675 S
0.765 0.162 0.325 S
0.258 0.837 0.163 S
0.258 0.325 0.163 S